[1]
{"formula": "SrTiS2", "functional": "PBE-GGA", "state": "relaxed", "cell": [[2.134, 1.232, 7.745], [-2.134, 1.232, 7.745], [0.000, -2.464, 7.745]], "species": ["Sr", "Ti", "S", "S"], "frac_coords": [[0.000, 0.000, 0.000], [0.500, 0.500, 0.500], [0.403, 0.403, 0.403], [0.597, 0.597, 0.597]], "raw_formation_energy_ev_per_atom": -0.984, "polymorph_energy_mev_per_atom": 342, "crystal_system": "trigonal", "magnetic_moment_mub_per_fu": 0.00}

***

[2]
{"formula": "LaGa2FeSn", "functional": "PBE-GGA", "state": "relaxed", "cell": [[4.685, 0.000, 0.000], [0.000, 4.685, 0.000], [0.000, 0.000, 4.927]], "species": ["La", "Ga", "Ga", "Fe", "Sn"], "frac_coords": [[0.000, 0.000, 0.000], [0.000, 0.500, 0.500], [0.500, 0.000, 0.500], [0.500, 0.500, 0.500], [0.500, 0.500, 0.000]], "crystal_system": "tetragonal", "ef_ev_per_atom": -0.323, "magnetic_moment_mub_per_fu": 1.23}

***

[3]
{"formula": "TaMnIn2S", "functional": "PBE-GGA", "state": "relaxed", "cell": [[5.167, 0.000, 0.000], [0.000, 5.167, 0.000], [0.000, 0.000, 4.038]], "species": ["Ta", "Mn", "In", "In", "S"], "frac_coords": [[0.000, 0.000, 0.000], [0.500, 0.500, 0.500], [0.000, 0.500, 0.500], [0.500, 0.000, 0.500], [0.500, 0.500, 0.000]], "raw_formation_energy_ev_per_atom": 0.863, "crystal_system": "tetragonal", "magnetic_moment_mub_per_fu": 3.31}

***

DOS at the Fermi energy
In order: 1.2838 0.5684 1.2971
Unit: states/eV/atom